# 1
Density functional theory data (PBE) for an optimized crystal structure of MgBP.

```
MgBP
1.0
3.170 0.000 0.000
-1.585 2.745 0.000
0.000 0.000 4.736
P Mg B
1 1 1
Cartesian
0.000 1.830 1.436
0.000 0.000 3.734
1.585 0.915 0.718
```

Values from the calculation:
The calculation puts the total energy at -4.711 eV/atom. The value obtained for the spin magnetization is 0.0 μB per cell. For the formation enthalpy at 0 K, the calculation gives -0.1503 eV/atom. For the density of states at the Fermi level, the calculation gives 0.066 states/eV per atom. The space-group type is P3m1 (156). For the energy above the most stable polymorph in this dataset, the calculation gives 2.90 kcal/mol of atoms.

# 2
Density functional theory data (PBE) for an optimized crystal structure of MgBP.

```
MgBP
1.0
7.938 0.000 -0.001
0.000 3.222 0.000
-2.537 0.000 7.626
P Mg B
4 4 4
Cartesian
2.957 0.000 1.418
1.689 1.611 5.231
6.470 0.000 2.952
5.202 1.611 6.764
3.756 0.000 3.973
5.025 1.611 0.160
0.437 0.000 1.165
-0.831 1.611 4.978
2.563 0.000 5.926
3.831 1.611 2.113
4.081 0.000 6.529
5.350 1.611 2.716
```

Values from the calculation:
The calculation puts the total energy at -4.770 eV/atom. The value obtained for the spin magnetization is 0.0 μB per cell. For the formation enthalpy at 0 K, the calculation gives -0.2099 eV/atom. For the density of states at the Fermi level, the calculation gives 0.063 states/eV per atom. The space-group type is Cm (8). For the energy above the most stable polymorph in this dataset, the calculation gives 1.53 kcal/mol of atoms.

# 3
Density functional theory data (PBE) for an optimized crystal structure of MgB2P2.

```
MgB2P2
1.0
-2.251 -0.374 -3.443
-2.576 -2.564 1.963
-4.370 1.249 0.243
P Mg B
2 1 2
Cartesian
-4.517 -0.297 -1.970
-4.679 -1.392 0.733
0.000 0.000 0.000
-2.917 -0.769 -0.487
-6.279 -0.920 -0.750
```

Values from the calculation:
The calculation puts the total energy at -4.774 eV/atom. The value obtained for the spin magnetization is 0.0 μB per cell. For the formation enthalpy at 0 K, the calculation gives 0.3803 eV/atom. For the density of states at the Fermi level, the calculation gives 0.269 states/eV per atom. The space-group type is I4/mmm (139). For the energy above the most stable polymorph in this dataset, the calculation gives 0.00 kcal/mol of atoms.

# 4
Density functional theory data (PBE) for an optimized crystal structure of MgBP.

```
MgBP
1.0
-0.416 -2.583 2.939
2.268 -1.841 -1.297
10.618 9.621 4.905
P Mg B
4 4 4
Cartesian
8.262 5.461 6.694
4.087 -0.271 3.593
5.552 3.614 4.576
1.376 -2.117 1.475
6.988 5.777 4.016
2.812 0.045 0.915
3.785 2.363 3.265
10.228 6.253 5.069
2.167 0.192 3.516
8.610 4.082 5.320
1.003 -0.648 2.673
7.445 3.242 4.478
```

Values from the calculation:
The calculation puts the total energy at -4.781 eV/atom. The value obtained for the spin magnetization is 0.0 μB per cell. For the formation enthalpy at 0 K, the calculation gives -0.2208 eV/atom. For the density of states at the Fermi level, the calculation gives 0.160 states/eV per atom. The space-group type is Cm (8). For the energy above the most stable polymorph in this dataset, the calculation gives 1.28 kcal/mol of atoms.

# 5
Density functional theory data (PBE) for an optimized crystal structure of MgBP2.

```
MgBP2
1.0
0.000 3.052 3.052
3.052 0.000 3.052
3.052 3.052 0.000
P Mg B
2 1 1
Cartesian
1.526 1.526 1.526
4.578 4.578 4.578
3.052 3.052 3.052
0.000 0.000 0.000
```

Values from the calculation:
The calculation puts the total energy at -3.834 eV/atom. The value obtained for the spin magnetization is 0.0 μB per cell. For the formation enthalpy at 0 K, the calculation gives 0.9392 eV/atom. For the density of states at the Fermi level, the calculation gives 0.351 states/eV per atom. The space-group type is Fm-3m (225). For the energy above the most stable polymorph in this dataset, the calculation gives 24.63 kcal/mol of atoms.

# 6
Density functional theory data (PBE) for an optimized crystal structure of MgBP.

```
MgBP
1.0
3.180 0.005 -0.006
-0.023 5.304 0.000
-1.560 -0.128 5.143
P Mg B
2 2 2
Cartesian
0.798 1.185 1.183
0.800 3.996 3.954
0.789 3.870 1.143
0.809 1.311 3.994
2.388 2.001 1.994
-0.791 3.180 3.144
```

Values from the calculation:
The calculation puts the total energy at -4.837 eV/atom. The value obtained for the spin magnetization is 0.0 μB per cell. For the formation enthalpy at 0 K, the calculation gives -0.2763 eV/atom. For the density of states at the Fermi level, the calculation gives 0.092 states/eV per atom. The space-group type is P-1 (2). For the energy above the most stable polymorph in this dataset, the calculation gives 0.00 kcal/mol of atoms.

# 7
Density functional theory data (PBE) for an optimized crystal structure of MgBP.

```
MgBP
1.0
-2.151 -1.837 3.723
2.718 0.371 1.754
-3.130 11.240 2.475
P Mg B
4 4 4
Cartesian
-3.598 5.732 4.365
-1.683 3.670 1.832
-0.675 0.298 4.005
-1.889 9.475 3.947
-0.904 1.270 1.133
-4.377 8.133 5.065
-1.110 7.075 3.247
-1.453 2.698 4.704
-1.510 -0.578 2.462
-3.771 9.980 3.736
-1.716 5.227 4.576
-0.848 4.546 3.375
```

Values from the calculation:
The calculation puts the total energy at -4.794 eV/atom. The value obtained for the spin magnetization is 0.0 μB per cell. For the formation enthalpy at 0 K, the calculation gives -0.2330 eV/atom. For the density of states at the Fermi level, the calculation gives 0.096 states/eV per atom. The space-group type is C2/m (12). For the energy above the most stable polymorph in this dataset, the calculation gives 1.00 kcal/mol of atoms.

# 8
Density functional theory data (PBE) for an optimized crystal structure of MgBP.

```
MgBP
1.0
-2.719 -2.593 3.420
-0.537 -2.280 -2.156
5.322 -1.427 0.183
P Mg B
2 2 2
Cartesian
1.077 -1.332 1.140
3.470 -3.185 0.154
-1.124 -2.244 2.653
1.269 -4.097 1.667
4.768 -1.822 0.739
1.838 -2.248 -0.431
```

Values from the calculation:
The calculation puts the total energy at -4.699 eV/atom. The value obtained for the spin magnetization is 0.0 μB per cell. For the formation enthalpy at 0 K, the calculation gives -0.1387 eV/atom. For the density of states at the Fermi level, the calculation gives 0.136 states/eV per atom. The space-group type is R3m (160). For the energy above the most stable polymorph in this dataset, the calculation gives 3.17 kcal/mol of atoms.

# 9
Density functional theory data (PBE) for an optimized crystal structure of MgBP.

```
MgBP
1.0
-1.708 -0.238 -2.725
0.389 -3.756 -1.804
-6.135 -3.272 2.233
P Mg B
2 2 2
Cartesian
-2.467 -2.788 -0.224
-7.147 -4.641 -0.943
-4.999 -5.473 -2.223
-1.553 -3.925 -2.599
-4.121 -3.529 -1.030
-5.410 -4.114 -0.171
```

Values from the calculation:
The calculation puts the total energy at -4.801 eV/atom. The value obtained for the spin magnetization is 0.0 μB per cell. For the formation enthalpy at 0 K, the calculation gives -0.2399 eV/atom. For the density of states at the Fermi level, the calculation gives 0.096 states/eV per atom. The space-group type is P1 (1). For the energy above the most stable polymorph in this dataset, the calculation gives 0.84 kcal/mol of atoms.

# 10
Density functional theory data (PBE) for an optimized crystal structure of MgBP.

```
MgBP
1.0
3.784 0.000 0.000
0.000 3.193 0.000
0.000 0.000 14.245
P Mg B
4 4 4
Cartesian
0.000 0.000 11.564
0.000 1.597 4.442
0.000 0.000 7.622
0.000 1.597 0.500
1.892 0.000 9.514
1.892 1.597 2.392
1.892 0.000 5.746
1.892 1.597 12.868
0.000 0.000 3.292
0.000 1.597 10.414
0.000 0.000 1.624
0.000 1.597 8.747
```

Values from the calculation:
The calculation puts the total energy at -4.804 eV/atom. The value obtained for the spin magnetization is 0.0 μB per cell. For the formation enthalpy at 0 K, the calculation gives -0.2430 eV/atom. For the density of states at the Fermi level, the calculation gives 0.133 states/eV per atom. The space-group type is Amm2 (38). For the energy above the most stable polymorph in this dataset, the calculation gives 0.77 kcal/mol of atoms.

# 11
Density functional theory data (PBE) for an optimized crystal structure of Mg2BPPd6.

```
Mg2BPPd6
1.0
5.519 -0.264 -0.654
-0.249 6.681 0.145
2.223 3.298 3.984
Mg B P Pd
2 1 1 6
Cartesian
5.237 3.088 1.828
2.256 6.628 1.647
2.635 3.209 -0.254
0.000 0.000 0.000
2.306 2.619 1.745
3.766 4.861 0.304
0.927 4.510 0.107
6.566 5.206 3.368
3.727 4.855 3.171
5.187 7.097 1.730
```

Values from the calculation:
The calculation puts the total energy at -5.165 eV/atom. The value obtained for the spin magnetization is 0.0 μB per cell. For the formation enthalpy at 0 K, the calculation gives -0.5214 eV/atom. For the density of states at the Fermi level, the calculation gives 0.270 states/eV per atom. The space-group type is P-1 (2).

# 12
Density functional theory data (PBE) for an optimized crystal structure of MgBP2Pd.

```
MgBP2Pd
1.0
-0.965 -3.686 -2.583
2.605 -2.802 3.024
-3.770 -0.781 2.523
P Mg B Pd
2 1 1 1
Cartesian
-1.885 -0.391 1.262
-0.483 -1.843 -1.291
1.302 -1.401 1.512
-1.065 -3.634 1.482
0.000 0.000 0.000
```

Values from the calculation:
The calculation puts the total energy at -3.701 eV/atom. The value obtained for the spin magnetization is 0.0 μB per cell. For the formation enthalpy at 0 K, the calculation gives 1.1562 eV/atom. For the density of states at the Fermi level, the calculation gives 0.696 states/eV per atom. The space-group type is P4/mmm (123).

- Look up the spin magnetization of the tenth one.
  0.0 μB per cell